# 1
KFeSb3: optimized geometry, GGA-PBE.

a = 5.7557 Å, b = 5.7557 Å, c = 5.7557 Å
α = 90.00°, β = 90.00°, γ = 90.00°
With the nearest neighbours (Å) after each atom.
Element x y z (fractional)
K1 0.0000 0.0000 0.0000  6 Sb 2.88
Fe1 0.5000 0.5000 0.5000  12 Sb 4.07
Sb1 0.0000 0.0000 0.5000  2 K 2.88
Sb2 0.0000 0.5000 0.0000  2 K 2.88
Sb3 0.5000 0.0000 0.0000  2 K 2.88

Computed properties:
E_form (uncorrected) = 173.6 kJ/mol of atoms
polymorph energy (0 for the lowest one) = 1600.1 meV/atom
space-group type = Pm-3m (221)

***

# 2
La4Tb4Nd: optimized geometry, GGA-PBE.

a = 6.3112 Å, b = 9.6859 Å, c = 10.9742 Å
α = 100.88°, β = 106.47°, γ = 96.20°
With the nearest neighbours (Å) after each atom.
Element x y z (fractional)
La1 0.2492 0.2486 0.0829  9 Tb 3.62-3.67, 2 La 3.64-3.67, 1 Nd 3.66
La2 0.2503 0.2482 0.7510  4 La 3.64-3.68, 6 Tb 3.65-3.68, 2 Nd 3.65
La3 0.2497 0.9150 0.5282  6 Tb 3.61-3.70, 5 La 3.64-3.67, 1 Nd 3.67
La4 0.2507 0.5839 0.6397  4 La 3.64-3.68, 5 Tb 3.64-3.69, 3 Nd 3.65-3.69
La5 0.7493 0.4161 0.3603  4 La 3.64-3.68, 5 Tb 3.64-3.69, 3 Nd 3.65-3.69
La6 0.7503 0.0850 0.4718  6 Tb 3.61-3.70, 5 La 3.64-3.67, 1 Nd 3.67
La7 0.7497 0.7518 0.2490  4 La 3.64-3.68, 6 Tb 3.65-3.68, 2 Nd 3.65
La8 0.7508 0.7514 0.9171  9 Tb 3.62-3.67, 2 La 3.64-3.67, 1 Nd 3.66
Tb1 0.2461 0.2471 0.4150  8 La 3.61-3.69, 2 Tb 3.64-3.66, 2 Nd 3.69-3.72
Tb2 0.2493 0.9187 0.1916  5 Tb 3.60-3.65, 6 La 3.62-3.70, 1 Nd 3.68
Tb3 0.2511 0.5838 0.9736  2 Nd 3.62-3.66, 4 Tb 3.64-3.65, 6 La 3.65-3.68
Tb4 0.2514 0.9168 0.8634  6 Tb 3.60-3.66, 6 La 3.64-3.67
Tb5 0.7486 0.0832 0.1366  6 Tb 3.60-3.66, 6 La 3.64-3.67
Tb6 0.7489 0.4162 0.0264  2 Nd 3.62-3.66, 4 Tb 3.64-3.65, 6 La 3.65-3.68
Tb7 0.7507 0.0813 0.8084  5 Tb 3.60-3.65, 6 La 3.62-3.70, 1 Nd 3.68
Tb8 0.7539 0.7529 0.5850  8 La 3.61-3.69, 2 Tb 3.64-3.66, 2 Nd 3.69-3.72
Nd1 0.2483 0.5828 0.3029  5 Tb 3.62-3.72, 7 La 3.65-3.69
Nd2 0.7517 0.4172 0.6971  5 Tb 3.62-3.72, 7 La 3.65-3.69

Computed properties:
energy of formation from the pure elements = 0.024 eV per atom
space-group type = P-1 (2)